Material: MnTe
Method: DFT, PBE
State: optimized geometry

Cell: 4.0813 4.0813 4.0813 Å, 60.00 60.00 60.00°
With the nearest neighbours (Å) after each atom.
Fractional positions:
Mn  0.0000  0.0000  0.0000  6 Te 2.89
Te  0.5000  0.5000  0.5000  6 Mn 2.89

Properties
As for the uncorrected formation energy: -0.1 eV/f.u. The calculation puts the density at 6.305 g cm⁻³. Its electronic total energy is -6.19 eV/atom. The total moment is 4.6 μB per cell.

=====

Material: MnTe
Method: DFT, PBE
State: optimized geometry

Cell: 6.4616 6.7183 8.2820 Å, 90.00 90.00 90.00°
With the nearest neighbours (Å) after each atom.
Fractional positions:
Mn  0.0680  0.2153  0.2287  5 Te 2.72-2.84, 2 Mn 2.86
Mn  0.1038  0.7180  0.9535  5 Te 2.63-2.81, 2 Mn 2.86
Mn  0.3962  0.2820  0.4535  5 Te 2.63-2.81, 2 Mn 2.86
Mn  0.4320  0.7847  0.7287  5 Te 2.72-2.84, 2 Mn 2.86
Mn  0.5680  0.2847  0.7713  5 Te 2.72-2.84, 2 Mn 2.86
Mn  0.6038  0.7820  0.0465  5 Te 2.63-2.81, 2 Mn 2.86
Mn  0.8962  0.2180  0.5465  5 Te 2.63-2.81, 2 Mn 2.86
Mn  0.9320  0.7153  0.2713  5 Te 2.72-2.84, 2 Mn 2.86
Te  0.1886  0.9458  0.4760  5 Mn 2.63-2.84
Te  0.1928  0.4524  0.7070  5 Mn 2.72-2.81
Te  0.3073  0.5476  0.2070  5 Mn 2.72-2.81
Te  0.3114  0.0542  0.9760  5 Mn 2.63-2.84
Te  0.6886  0.5542  0.5240  5 Mn 2.63-2.84
Te  0.6928  0.0476  0.2930  5 Mn 2.72-2.81
Te  0.8072  0.9524  0.7930  5 Mn 2.72-2.81
Te  0.8114  0.4458  0.0240  5 Mn 2.63-2.84

Properties
As for the uncorrected formation energy: 0.2 eV/f.u. The calculation puts the density at 6.744 g cm⁻³. Its electronic total energy is -6.08 eV/atom. The total moment is 27.6 μB per cell.

=====

Material: MnTe
Method: DFT, PBE
State: optimized geometry

Cell: 3.9738 3.9738 13.5266 Å, 90.00 90.00 120.00°
With the nearest neighbours (Å) after each atom.
Fractional positions:
Mn  0.0000  0.0000  0.2500  3 Mn 2.29
Mn  0.0000  0.0000  0.7500  3 Mn 2.29
Mn  0.3333  0.6667  0.2500  3 Mn 2.29
Mn  0.6667  0.3333  0.7500  3 Mn 2.29
Te  0.3333  0.6667  0.6298  6 Mn 2.81
Te  0.3333  0.6667  0.8702  6 Mn 2.81
Te  0.6667  0.3333  0.1298  6 Mn 2.81
Te  0.6667  0.3333  0.3702  6 Mn 2.81

Properties
As for the uncorrected formation energy: 0.1 eV/f.u. The calculation puts the density at 6.555 g cm⁻³. Its electronic total energy is -6.08 eV/atom. The total moment is 6.4 μB per cell.

=====

Material: Mn5Te3
Method: DFT, PBE
State: optimized geometry

Cell: 6.2352 6.2352 3.8401 Å, 90.00 90.00 101.03°
With the nearest neighbours (Å) after each atom.
Fractional positions:
Mn  0.0000  0.0000  0.0000  4 Te 2.68, 4 Mn 2.78
Mn  0.0000  0.5000  0.0000  6 Te 2.81-3.12, 6 Mn 3.08-3.12
Mn  0.2541  0.2541  0.5000  4 Te 2.74-2.75, 2 Mn 2.78
Mn  0.5000  0.0000  0.0000  6 Te 2.81-3.12, 6 Mn 3.08-3.12
Mn  0.7459  0.7459  0.5000  4 Te 2.74-2.75, 2 Mn 2.78
Te  0.1949  0.8051  0.5000  8 Mn 2.68-2.81
Te  0.5000  0.5000  0.0000  4 Mn 2.74
Te  0.8051  0.1949  0.5000  8 Mn 2.68-2.81

Properties
As for the uncorrected formation energy: 1.9 eV/f.u. The value obtained for the energy above the most stable polymorph in this dataset is 0 meV/atom. The calculation puts the density at 7.451 g cm⁻³. Its electronic total energy is -6.67 eV/atom. The total moment is 16.9 μB per cell.

=====

Material: Mn4Te3
Method: DFT, PBE
State: optimized geometry

Cell: 6.2951 6.2951 4.7641 Å, 90.00 90.00 120.00°
With the nearest neighbours (Å) after each atom.
Fractional positions:
Mn  0.0000  0.0000  0.2473  2 Mn 2.36-2.41
Mn  0.0000  0.0000  0.7527  2 Mn 2.36-2.41
Mn  0.3333  0.6667  0.0000  6 Te 3.00
Mn  0.6667  0.3333  0.0000  6 Te 3.00
Te  0.0000  0.5000  0.5000  4 Mn 3.00, 4 Te 3.15
Te  0.5000  0.0000  0.5000  4 Mn 3.00, 4 Te 3.15
Te  0.5000  0.5000  0.5000  4 Mn 3.00, 4 Te 3.15

Properties
As for the uncorrected formation energy: 5.8 eV/f.u. The calculation puts the density at 6.120 g cm⁻³. Its electronic total energy is -5.76 eV/atom. The total moment is 16.1 μB per cell.

=====

Material: MnTe2
Method: DFT, PBE
State: optimized geometry

Cell: 5.3512 5.3512 6.0068 Å, 90.00 90.00 120.00°
With the nearest neighbours (Å) after each atom.
Fractional positions:
Mn  0.3333  0.6667  0.2500  5 Te 3.00-3.09
Mn  0.6667  0.3333  0.7500  5 Te 3.00-3.09
Te  0.0000  0.0000  0.0000  2 Te 3.00
Te  0.0000  0.0000  0.5000  2 Te 3.00
Te  0.3333  0.6667  0.7500  5 Mn 3.00-3.09
Te  0.6667  0.3333  0.2500  5 Mn 3.00-3.09

Properties
As for the uncorrected formation energy: 1.0 eV/f.u. The calculation puts the density at 6.914 g cm⁻³. Its electronic total energy is -4.81 eV/atom. The total moment is 8.5 μB per cell.